The following is a DFT calculation (meta-GGA SCAN) of ZnInSn3 at its PBEsol-relaxed geometry.

Unit cell a=5.5249 b=5.5249 c=5.5249 alpha=90.00 beta=90.00 gamma=90.00
Fractional coordinates of all 5 atoms:
Zn  0.0000  0.0000  0.0000
In  0.5000  0.5000  0.5000
Sn  0.0000  0.5000  0.5000
Sn  0.5000  0.0000  0.5000
Sn  0.5000  0.5000  0.0000

**V**: 168.6 Å³/cell
**Calculated formation energy**: 0.84 eV per atom
**Total moment**: 0.0 μB/f.u.

The following is a DFT calculation (meta-GGA SCAN) of CuHI3 at its PBEsol-relaxed geometry.

Unit cell a=5.3067 b=5.3067 c=5.3067 alpha=90.00 beta=90.00 gamma=90.00
Fractional coordinates of all 5 atoms:
Cu  0.0000  0.0000  0.0000
H  0.5000  0.5000  0.5000
I  0.0000  0.0000  0.5000
I  0.0000  0.5000  0.0000
I  0.5000  0.0000  0.0000

**V**: 149.4 Å³/cell
**E_tot**: -25.19 eV per atom
**Total moment**: 1.1 μB/f.u.

The following is a DFT calculation (meta-GGA SCAN) of Sr2Ti6N2O11 at its PBEsol-relaxed geometry.

Unit cell a=7.7998 b=7.7998 c=9.2007 alpha=98.94 beta=98.94 gamma=28.09
Fractional coordinates of all 21 atoms:
Sr  0.0000  0.0000  0.0000
Sr  0.0968  0.0968  0.5250
Ti  0.3153  0.3153  0.9789
Ti  0.3825  0.3825  0.3124
Ti  0.4316  0.4316  0.6560
Ti  0.6645  0.6645  0.8580
Ti  0.7144  0.7144  0.1893
Ti  0.7762  0.7762  0.5107
N  0.6169  0.6169  0.0322
N  0.6734  0.6734  0.3663
O  0.1966  0.1966  0.8598
O  0.2553  0.2553  0.1707
O  0.3136  0.3136  0.5059
O  0.3961  0.3961  0.8475
O  0.4243  0.4243  0.1345
O  0.4809  0.4809  0.4531
O  0.5526  0.5526  0.7327
O  0.7152  0.7152  0.6601
O  0.7966  0.7966  0.9875
O  0.8497  0.8497  0.3186
O  0.9161  0.9161  0.6373

**V**: 260.1 Å³/cell
**Formation energy from raw total energies**: -3055.4 meV per atom
**Total moment**: 0.0 μB/f.u.

The following is a DFT calculation (meta-GGA SCAN) of CoPtPb2 at its PBEsol-relaxed geometry.

Unit cell a=6.5193 b=6.5193 c=6.5193 alpha=152.63 beta=142.31 gamma=47.20
Fractional coordinates of all 4 atoms:
Co  0.0000  0.0000  0.0000
Pt  0.8174  0.3174  0.5000
Pb  0.2016  0.7016  0.5000
Pb  0.4779  0.4779  0.0000

**V**: 77.6 Å³/cell
**Calculated formation energy**: 0.27 eV per atom
**Total moment**: 1.5 μB/f.u.

The following is a DFT calculation (meta-GGA SCAN) of ZnMoP2 at its PBEsol-relaxed geometry.

Unit cell a=4.8314 b=4.8314 c=4.8314 alpha=141.50 beta=129.15 gamma=65.55
Fractional coordinates of all 4 atoms:
Zn  0.0000  0.0000  0.0000
Mo  0.2682  0.7682  0.5000
P  0.5361  0.5361  0.0000
P  0.7656  0.2656  0.5000

**V**: 53.7 Å³/cell
**Calculated formation energy**: 0.24 eV per atom
**Total moment**: 0.0 μB/f.u.

The following is a DFT calculation (meta-GGA SCAN) of SiNiAs2Br at its PBEsol-relaxed geometry.

Unit cell a=4.5133 b=4.5133 c=4.9174 alpha=90.00 beta=90.00 gamma=90.00
Fractional coordinates of all 5 atoms:
Si  0.0000  0.0000  0.0000
Ni  0.5000  0.5000  0.5000
As  0.0000  0.5000  0.5000
As  0.5000  0.0000  0.5000
Br  0.5000  0.5000  0.0000

**V**: 100.2 Å³/cell
**Formation energy from raw total energies**: 716.7 meV per atom
**Total moment**: 1.0 μB/f.u.